Record 1
A relaxed Al5Co crystal, computed with GGA-PBE.

Lattice parameters (Å, degrees): 4.348 7.172 7.172 23.38 90.00 90.00
Fractional coordinates of all 6 atoms:
Al: 0.000 0.000 0.000
Al: 0.000 0.307 0.307
Al: 0.500 0.107 0.107
Al: 0.500 0.430 0.430
Al: 0.500 0.763 0.763
Co: 0.000 0.657 0.657

Properties
**Energy of formation**: -0.090 eV/atom


Record 2
A relaxed AlCo crystal, computed with GGA-PBE.

Lattice parameters (Å, degrees): 2.741 2.741 3.796 90.00 90.00 120.00
Fractional coordinates of all 2 atoms:
Al: 0.000 0.000 0.000
Co: 0.667 0.333 0.500

Properties
**Energy of formation**: -0.337 eV/atom


Record 3
A relaxed AlCo crystal, computed with GGA-PBE.

Lattice parameters (Å, degrees): 4.670 4.670 6.241 107.10 107.10 34.11
Fractional coordinates of all 6 atoms:
Al: 0.000 0.000 0.000
Al: 0.056 0.056 0.598
Al: 0.718 0.718 0.350
Co: 0.345 0.345 0.682
Co: 0.417 0.417 0.263
Co: 0.713 0.713 0.939

Properties
**Energy of formation**: -0.378 eV/atom


Record 4
A relaxed Al2Co3 crystal, computed with GGA-PBE.

Lattice parameters (Å, degrees): 9.952 9.952 9.952 15.36 15.36 15.36
Fractional coordinates of all 5 atoms:
Al: 0.100 0.100 0.100
Al: 0.900 0.900 0.900
Co: 0.301 0.301 0.301
Co: 0.500 0.500 0.500
Co: 0.699 0.699 0.699

Properties
**Energy above the most stable polymorph in this dataset**: 0.63 eV per formula unit
**Energy of formation**: -0.162 eV/atom


Record 5
A relaxed AlCo crystal, computed with GGA-PBE.

Lattice parameters (Å, degrees): 3.012 3.012 5.518 90.00 90.00 90.00
Fractional coordinates of all 4 atoms:
Al: 0.250 0.250 0.156
Al: 0.750 0.750 0.844
Co: 0.250 0.250 0.636
Co: 0.750 0.750 0.364

Properties
**Energy of formation**: -0.256 eV/atom


Record 6
A relaxed Al5Co2 crystal, computed with GGA-PBE.

Lattice parameters (Å, degrees): 7.672 7.672 7.588 90.00 90.00 120.00
Fractional coordinates of all 28 atoms:
Al: 0.000 0.000 0.000
Al: 0.000 0.000 0.500
Al: 0.064 0.532 0.250
Al: 0.194 0.389 0.560
Al: 0.194 0.389 0.940
Al: 0.194 0.806 0.560
Al: 0.194 0.806 0.940
Al: 0.389 0.194 0.060
Al: 0.389 0.194 0.440
Al: 0.468 0.532 0.250
Al: 0.468 0.936 0.250
Al: 0.532 0.064 0.750
Al: 0.532 0.468 0.750
Al: 0.611 0.806 0.560
Al: 0.611 0.806 0.940
Al: 0.806 0.194 0.060
Al: 0.806 0.194 0.440
Al: 0.806 0.611 0.060
Al: 0.806 0.611 0.440
Al: 0.936 0.468 0.750
Co: 0.127 0.254 0.250
Co: 0.127 0.873 0.250
Co: 0.254 0.127 0.750
Co: 0.333 0.667 0.750
Co: 0.667 0.333 0.250
Co: 0.746 0.873 0.250
Co: 0.873 0.127 0.750
Co: 0.873 0.746 0.750

Properties
**Energy of formation**: -0.463 eV/atom


Record 7
A relaxed AlCo crystal, computed with GGA-PBE.

Lattice parameters (Å, degrees): 5.492 5.492 5.492 97.86 97.86 136.59
Fractional coordinates of all 8 atoms:
Al: 0.000 0.278 0.278
Al: 0.000 0.722 0.722
Al: 0.278 0.000 0.278
Al: 0.722 0.000 0.722
Co: 0.336 0.336 0.672
Co: 0.336 0.664 0.000
Co: 0.664 0.336 0.000
Co: 0.664 0.664 0.328

Properties
**Energy of formation**: -0.263 eV/atom


Record 8
A relaxed AlCo4 crystal, computed with GGA-PBE.

Lattice parameters (Å, degrees): 4.188 4.188 4.188 90.00 90.00 90.00
Fractional coordinates of all 5 atoms:
Al: 0.000 0.000 0.000
Co: 0.000 0.000 0.500
Co: 0.000 0.500 0.000
Co: 0.500 0.000 0.000
Co: 0.500 0.500 0.500

Properties
**Energy above the most stable polymorph in this dataset**: 6.74 eV per formula unit
**Energy of formation**: 1.191 eV/atom


Record 9
A relaxed AlCo crystal, computed with GGA-PBE.

Lattice parameters (Å, degrees): 7.556 6.905 4.348 80.91 64.47 34.62
Fractional coordinates of all 8 atoms:
Al: 0.041 0.709 0.041
Al: 0.291 0.959 0.291
Al: 0.709 0.041 0.709
Al: 0.959 0.291 0.959
Co: 0.290 0.290 0.460
Co: 0.460 0.460 0.290
Co: 0.540 0.540 0.710
Co: 0.710 0.710 0.540

Properties
**Energy of formation**: -0.055 eV/atom


Record 10
A relaxed Al5Co24 crystal, computed with GGA-PBE.

Lattice parameters (Å, degrees): 7.548 7.548 7.548 109.47 109.47 109.47
Fractional coordinates of all 29 atoms:
Al: 0.000 0.000 0.000
Al: 0.000 0.000 0.372
Al: 0.000 0.372 0.000
Al: 0.372 0.000 0.000
Al: 0.628 0.628 0.628
Co: 0.000 0.321 0.607
Co: 0.000 0.607 0.321
Co: 0.000 0.627 0.808
Co: 0.000 0.808 0.627
Co: 0.182 0.373 0.373
Co: 0.192 0.192 0.818
Co: 0.192 0.818 0.192
Co: 0.286 0.679 0.679
Co: 0.321 0.000 0.607
Co: 0.321 0.607 0.000
Co: 0.373 0.182 0.373
Co: 0.373 0.373 0.182
Co: 0.393 0.393 0.714
Co: 0.393 0.714 0.393
Co: 0.607 0.000 0.321
Co: 0.607 0.321 0.000
Co: 0.627 0.000 0.808
Co: 0.627 0.808 0.000
Co: 0.679 0.286 0.679
Co: 0.679 0.679 0.286
Co: 0.714 0.393 0.393
Co: 0.808 0.000 0.627
Co: 0.808 0.627 0.000
Co: 0.818 0.192 0.192

Properties
**Energy of formation**: -0.128 eV/atom


Record 11
A relaxed AlCo crystal, computed with GGA-PBE.

Lattice parameters (Å, degrees): 6.527 6.527 6.527 90.00 90.00 90.00
Fractional coordinates of all 12 atoms:
Al: 0.000 0.250 0.500
Al: 0.000 0.750 0.500
Al: 0.250 0.500 0.000
Al: 0.500 0.000 0.250
Al: 0.500 0.000 0.750
Al: 0.750 0.500 0.000
Co: 0.000 0.500 0.250
Co: 0.000 0.500 0.750
Co: 0.250 0.000 0.500
Co: 0.500 0.250 0.000
Co: 0.500 0.750 0.000
Co: 0.750 0.000 0.500

Properties
**Energy of formation**: 0.972 eV/atom


Record 12
A relaxed AlCo crystal, computed with GGA-PBE.

Lattice parameters (Å, degrees): 4.616 4.616 4.616 50.51 50.51 50.51
Fractional coordinates of all 4 atoms:
Al: 0.109 0.109 0.109
Al: 0.891 0.891 0.891
Co: 0.314 0.314 0.314
Co: 0.686 0.686 0.686

Properties
**Energy of formation**: -0.202 eV/atom